(1)
TbPrNdAg, relaxed, DFT PBE; E_form = -0.120 eV/atom; energy relative to the lowest polymorph listed for this composition = 0 meV/atom; VASP energy = -4.3771 eV per atom; space group = P4mm
1.0
3.6993 0.0000 0.0000
0.0000 3.6993 0.0000
0.0000 0.0000 8.8516
Tb Pr Nd Ag
1 1 1 1
Cartesian
0.0000 0.0000 0.0000
1.8497 1.8497 6.3119
0.0000 0.0000 3.6966
1.8497 1.8497 1.7168

=====

(2)
Rb2CrReN4, relaxed, DFT PBE; VASP energy = -7.4355 eV per atom; space group = Pmmn; uncorrected formation energy = -272 meV per atom
1.0
6.0700 0.0000 0.0000
0.0000 6.5184 0.0000
0.0000 0.0000 7.1124
Rb Cr Re N
4 2 2 8
Cartesian
1.5175 0.0058 1.3728
1.5175 3.2533 1.3728
4.5525 3.2650 5.7396
4.5525 6.5125 5.7396
1.5175 4.8888 4.5782
4.5525 1.6296 2.5342
1.5175 1.6296 4.5504
4.5525 4.8888 2.5620
0.0275 4.8888 3.5955
1.5175 3.2766 5.5030
1.5175 6.5009 5.5030
3.0075 4.8888 3.5955
3.0625 1.6296 3.5169
4.5525 0.0174 1.6094
4.5525 3.2417 1.6094
6.0425 1.6296 3.5169

=====

(3)
TlTc2Sb2, relaxed, DFT PBE; energy relative to the lowest polymorph listed for this composition = 0 meV/atom; VASP energy = -5.9750 eV per atom; space group = P4/mbm; uncorrected formation energy = 294 meV per atom
1.0
7.8174 0.0000 0.0000
0.0000 7.8174 0.0000
0.0000 0.0000 3.2489
Tl Tc Sb
2 4 4
Cartesian
0.0000 0.0000 0.0000
3.9087 3.9087 0.0000
1.1308 2.7779 0.0000
2.7779 6.6866 0.0000
5.0395 1.1308 0.0000
6.6866 5.0395 0.0000
1.1447 5.0534 1.6244
2.7639 1.1447 1.6244
5.0534 6.6726 1.6244
6.6726 2.7639 1.6244

=====

(4)
Tl2Pd8Pt, relaxed, DFT PBE; E_form = -0.099 eV/atom; energy relative to the lowest polymorph listed for this composition = 0 meV/atom; VASP energy = -4.8553 eV per atom; space group = Immm
1.0
-2.0019 4.0834 5.8546
2.0019 -4.0834 5.8546
2.0019 4.0834 -5.8546
Tl Pd Pt
2 8 1
Cartesian
0.0000 0.0000 1.7934
0.0000 0.0000 9.9159
2.0019 2.0562 -1.9185
0.0000 2.1228 0.0000
2.0019 0.0000 3.8828
2.0019 2.0562 1.9185
0.0000 2.0273 3.9361
0.0000 4.0834 1.9719
0.0000 6.0441 0.0000
0.0000 2.0273 7.7732
0.0000 0.0000 5.8546

=====

(5)
DyHo2TmTh, relaxed, DFT PBE; E_form = 0.343 eV/atom; VASP energy = -4.7872 eV per atom; space group = P2/c
1.0
8.4791 0.0000 0.0000
0.0000 6.2959 0.0000
-0.7621 0.0000 6.2287
Dy Ho Tm Th
2 4 2 2
Cartesian
0.0000 0.0000 0.0000
-0.3811 0.0000 3.1144
2.4943 1.9069 1.3342
2.1132 4.3889 4.4485
5.6037 1.9069 1.7802
5.2227 4.3889 4.8946
3.6680 1.1442 4.6716
4.0490 5.1516 1.5572
-0.5716 2.8246 4.6716
-0.1905 3.4712 1.5572

=====

(6)
SnP2SBr, relaxed, DFT PBE; energy relative to the lowest polymorph listed for this composition = 0 meV/atom; VASP energy = -3.1433 eV per atom; space group = P4/mmm; uncorrected formation energy = 981 meV per atom
1.0
5.2243 0.0000 0.0000
0.0000 5.2243 0.0000
0.0000 0.0000 4.8992
Sn P S Br
1 2 1 1
Cartesian
0.0000 0.0000 0.0000
0.0000 2.6122 0.0000
2.6122 0.0000 0.0000
0.0000 0.0000 2.4496
2.6122 2.6122 2.4496

=====

(7)
Zr2BiB, relaxed, DFT PBE; E_form = -0.048 eV/atom; energy relative to the lowest polymorph listed for this composition = 466 meV/atom; VASP energy = -6.9613 eV per atom; space group = I-42d
1.0
-3.5766 3.5766 3.2584
3.5766 -3.5766 3.2584
3.5766 3.5766 -3.2584
Zr Bi B
4 2 2
Cartesian
5.3649 1.2650 -0.8146
1.2650 1.7883 0.8146
-1.7883 2.3116 2.4438
2.3116 1.7883 4.0730
3.5766 0.0000 1.6292
0.0000 0.0000 3.2584
0.0000 0.0000 0.0000
0.0000 3.5766 1.6292